A:
Below is a geometry-optimized LiLa2Zr structure, with properties calculated at the PBE level.

a b c (Å): 5.4605 5.4605 5.4605
angles (deg): 60.00 60.00 60.00
Sites, in units of the cell vectors:
Li 0.0000 0.0000 0.0000
Zr 0.5000 0.5000 0.5000
La 0.2500 0.2500 0.2500
La 0.7500 0.7500 0.7500

Properties
SG: Fm-3m (225)

=====

B:
Below is a geometry-optimized LiLa2Zr structure, with properties calculated at the PBE level.

a b c (Å): 11.4998 11.4998 11.4998
angles (deg): 17.46 17.46 17.46
Sites, in units of the cell vectors:
La 0.0041 0.0041 0.0041
La 0.4959 0.4959 0.4959
Li 0.2500 0.2500 0.2500
Zr 0.7500 0.7500 0.7500

Properties
SG: R-3m (166)

=====

Which structure is most stable, and how do the rest compare? From most to least stable: B, A.

=====

A:
Below is a geometry-optimized LiLa2Zr structure, with properties calculated at the PBE level.

a b c (Å): 3.5690 3.5690 8.7288
angles (deg): 90.00 90.00 90.00
Sites, in units of the cell vectors:
La 0.0000 0.0000 0.9730
La 0.5000 0.5000 0.2866
Li 0.0000 0.0000 0.5287
Zr 0.5000 0.5000 0.7117

Properties
SG: P4mm (99)

=====

B:
Below is a geometry-optimized LiLa2Zr structure, with properties calculated at the PBE level.

a b c (Å): 6.5252 6.5252 6.5252
angles (deg): 148.15 129.35 61.09
Sites, in units of the cell vectors:
La 0.0064 0.0064 0.0000
La 0.7358 0.2358 0.5000
Li 0.4866 0.4866 0.0000
Zr 0.2712 0.7712 0.5000

Properties
SG: Imm2 (44)

=====

C:
Below is a geometry-optimized LiLa2Zr structure, with properties calculated at the PBE level.

a b c (Å): 8.3786 8.3786 6.7538
angles (deg): 51.66 51.66 90.00
Sites, in units of the cell vectors:
Li 0.5000 0.5000 0.0000
Li 0.2500 0.7500 0.5000
Zr 0.0000 0.0000 0.0000
Zr 0.7500 0.2500 0.5000
La 0.6031 0.1250 0.2500
La 0.1469 0.6250 0.2500
La 0.3750 0.3969 0.7500
La 0.8750 0.8531 0.7500

Properties
SG: I-42d (122)

=====

Which structure is most stable, and how do the rest compare? From most to least stable: B, A, C.

=====

A:
Below is a geometry-optimized LiLa2Zr structure, with properties calculated at the PBE level.

a b c (Å): 6.3984 6.3984 6.3984
angles (deg): 147.43 126.57 63.99
Sites, in units of the cell vectors:
La 0.9894 0.9894 0.0000
La 0.5106 0.5106 0.0000
Li 0.7500 0.2500 0.5000
Zr 0.2500 0.7500 0.5000

Properties
SG: Immm (71)

=====

B:
Below is a geometry-optimized LiLa2Zr structure, with properties calculated at the PBE level.

a b c (Å): 11.3008 11.3008 11.3008
angles (deg): 17.60 17.60 17.60
Sites, in units of the cell vectors:
La 0.0058 0.0058 0.0058
La 0.2472 0.2472 0.2472
Li 0.4937 0.4937 0.4937
Zr 0.7533 0.7533 0.7533

Properties
SG: R3m (160)

=====

C:
Below is a geometry-optimized LiLa2Zr structure, with properties calculated at the PBE level.

a b c (Å): 3.2954 3.2954 11.6227
angles (deg): 90.00 90.00 115.24
Sites, in units of the cell vectors:
La 0.0000 0.0000 0.9783
La 0.5000 0.5000 0.2650
Li 0.0000 0.0000 0.5186
Zr 0.5000 0.5000 0.7381

Properties
SG: Cmm2 (35)

=====

Which structure is most stable, and how do the rest compare? From most to least stable: B, C, A.